No. 1
This record from Alexandria via LeMat-Bulk describes a geometry-optimized Nb3SbP6O24 structure. The functional is GGA-PBEsol.

abc: 8.7974 8.7974 9.0528
angles: 60.93 60.93 60.00
Closest atoms and distances in Å follow each position.
Element x y z (fractional)
Nb 0.8584 0.8584 0.4249  6 O 1.98-2.00
Nb 0.6400 0.6400 0.0799  6 O 1.96-1.97
Nb 0.3594 0.3594 0.9218  6 O 1.96-2.02
Sb 0.1386 0.1386 0.5843  6 O 2.21-2.26
P 0.2503 0.9657 0.2494  4 O 1.51-1.56
P 0.9657 0.5346 0.2494  4 O 1.51-1.56
P 0.5346 0.2503 0.2494  4 O 1.51-1.56
P 0.4890 0.7301 0.7501  4 O 1.50-1.56
P 0.0308 0.4890 0.7501  4 O 1.50-1.56
P 0.7301 0.0308 0.7501  4 O 1.50-1.56
O 0.6549 0.8864 0.9203  1 P 1.54
O 0.5384 0.6549 0.9203  1 P 1.54
O 0.0593 0.9645 0.2825  1 P 1.56
O 0.8864 0.5384 0.9203  1 P 1.54
O 0.3957 0.7798 0.2153  1 P 1.56
O 0.2601 0.9733 0.4073  1 P 1.51
O 0.9645 0.6937 0.2825  1 P 1.56
O 0.7798 0.6092 0.2153  1 P 1.56
O 0.6092 0.3957 0.2153  1 P 1.56
O 0.6662 0.7380 0.5849  1 P 1.55
O 0.3356 0.9147 0.7386  1 P 1.50
O 0.0108 0.6662 0.5849  1 P 1.55
O 0.9733 0.3593 0.4073  1 P 1.51
O 0.6937 0.0593 0.2825  1 P 1.56
O 0.3593 0.2601 0.4073  1 P 1.51
O 0.4321 0.5789 0.7682  1 P 1.56
O 0.2209 0.4321 0.7682  1 P 1.56
O 0.0110 0.3356 0.7386  1 P 1.50
O 0.7380 0.0108 0.5849  1 P 1.55
O 0.5789 0.2209 0.7682  1 P 1.56
O 0.1315 0.5016 0.0797  1 P 1.55
O 0.9147 0.0110 0.7386  1 P 1.50
O 0.5016 0.2871 0.0797  1 P 1.55
O 0.2871 0.1315 0.0797  1 P 1.55

Summary:
The calculated volume is 502.3 Å³/cell. The value obtained for the total DFT energy (no corrections) is -8.0889 eV/atom.

=====

No. 2
This record from Alexandria via LeMat-Bulk describes a geometry-optimized Li2V2P4H6O17 structure. The functional is GGA-PBEsol.

abc: 8.5459 8.9989 9.3822
angles: 61.91 89.63 80.61
Closest atoms and distances in Å follow each position.
Element x y z (fractional)
Li 0.2527 0.1747 0.6991  5 O 2.03-2.18
Li 0.6662 0.5153 0.2242  4 O 1.97-2.04
Li 0.3338 0.4847 0.7758  4 O 1.97-2.04
Li 0.7473 0.8253 0.3009  5 O 2.03-2.18
V 0.1285 0.2459 0.2843  6 O 1.93-2.03
V 0.6254 0.2651 0.7763  6 O 1.91-2.03
V 0.3746 0.7349 0.2237  6 O 1.91-2.03
V 0.8715 0.7541 0.7157  6 O 1.93-2.03
P 0.4204 0.1336 0.0983  4 O 1.51-1.59
P 0.9018 0.1599 0.5875  4 O 1.52-1.58
P 0.4379 0.3017 0.4460  4 O 1.53-1.59
P 0.1412 0.6447 0.0151  4 O 1.52-1.58
P 0.8588 0.3553 0.9849  4 O 1.52-1.58
P 0.5621 0.6983 0.5540  4 O 1.53-1.59
P 0.0982 0.8401 0.4125  4 O 1.52-1.58
P 0.5796 0.8664 0.9017  4 O 1.51-1.59
H 0.9553 0.0529 0.2035  1 O 1.05
H 0.5801 0.1125 0.2884  1 O 1.03
H 0.6675 0.0996 0.5064  1 O 1.06
H 0.6970 0.5747 0.9640  1 O 1.06
H 0.1624 0.5000 0.5730  1 O 0.99
H 0.0702 0.4355 0.7329  1 O 1.00
H 0.9298 0.5645 0.2671  1 O 1.00
H 0.8376 0.5000 0.4270  1 O 0.99
H 0.3030 0.4253 0.0360  1 O 1.06
H 0.3325 0.9004 0.4936  1 O 1.06
H 0.4199 0.8875 0.7116  1 O 1.03
H 0.0447 0.9471 0.7965  1 O 1.05
O 0.3421 0.9875 0.1161  1 P 1.51
O 0.5825 0.0625 0.2099  1 H 1.03
O 0.3155 0.2519 0.1540  1 H 1.41, 1 P 1.55
O 0.8158 0.0133 0.6044  1 H 1.44, 1 P 1.56
O 0.0499 0.0762 0.7166  1 H 1.05
O 0.9839 0.2284 0.1257  1 H 1.46, 1 P 1.55
O 0.5708 0.1734 0.4182  1 H 1.06
O 0.2755 0.2500 0.4463  1 P 1.53
O 0.7300 0.4455 0.0552  1 H 1.06
O 0.0696 0.5039 0.1540  1 P 1.54
O 0.9566 0.2522 0.4174  1 P 1.52
O 0.4682 0.2806 0.6156  1 P 1.53
O 0.4500 0.4794 0.3081  1 P 1.53
O 0.7875 0.2950 0.6119  1 P 1.54
O 0.1675 0.4054 0.6853  2 H 0.99-1.00
O 0.4504 0.2525 0.9224  1 P 1.53
O 0.7843 0.2478 0.9281  1 P 1.52
O 0.2157 0.7522 0.0719  1 P 1.52
O 0.5496 0.7475 0.0776  1 P 1.53
O 0.8325 0.5946 0.3147  2 H 0.99-1.00
O 0.2125 0.7050 0.3881  1 P 1.54
O 0.5500 0.5206 0.6919  1 P 1.53
O 0.5318 0.7194 0.3844  1 P 1.53
O 0.0434 0.7478 0.5826  1 P 1.52
O 0.9304 0.4961 0.8460  1 P 1.54
O 0.2700 0.5545 0.9448  1 H 1.06
O 0.7245 0.7500 0.5537  1 P 1.53
O 0.4292 0.8266 0.5818  1 H 1.06
O 0.0161 0.7716 0.8743  1 H 1.46, 1 P 1.55
O 0.9501 0.9238 0.2834  1 H 1.05
O 0.1842 0.9867 0.3956  1 H 1.44, 1 P 1.56
O 0.6845 0.7481 0.8460  1 H 1.41, 1 P 1.55
O 0.4175 0.9375 0.7901  1 H 1.03
O 0.6579 0.0125 0.8839  1 P 1.51

Summary:
The calculated volume is 625.9 Å³/cell. The value obtained for the total DFT energy (no corrections) is -6.9491 eV/atom.

=====

No. 3
This record from Alexandria via LeMat-Bulk describes a geometry-optimized ZrFeTeN2 structure. The functional is GGA-PBEsol.

abc: 3.8586 3.8586 4.8588
angles: 90.00 90.00 90.00
Closest atoms and distances in Å follow each position.
Element x y z (fractional)
Te 0.0000 0.0000 0.5000  2 Fe 2.43
Fe 0.0000 0.0000 0.0000  4 N 1.93
Zr 0.5000 0.5000 0.5000  4 Te 2.73
N 0.0000 0.5000 0.0000  2 Fe 1.93
N 0.5000 0.0000 0.0000  2 Fe 1.93

Summary:
The calculated volume is 72.3 Å³/cell. The value obtained for the total DFT energy (no corrections) is -7.1322 eV/atom.

=====

No. 4
This record from Alexandria via LeMat-Bulk describes a geometry-optimized CaSc2Se structure. The functional is GGA-PBEsol.

abc: 4.2083 4.2083 6.0795
angles: 110.25 110.25 90.00
Closest atoms and distances in Å follow each position.
Element x y z (fractional)
Sc 0.7500 0.2500 0.5000  4 Sc 2.98
Sc 0.2500 0.7500 0.5000  4 Sc 2.98
Ca 0.0000 0.0000 0.0000  4 Se 2.98
Se 0.5000 0.5000 0.0000  4 Ca 2.98

Summary:
The calculated volume is 93.9 Å³/cell. The value obtained for the total DFT energy (no corrections) is -5.2034 eV/atom.

=====

No. 5
This record from Alexandria via LeMat-Bulk describes a geometry-optimized LaPb6ClO7 structure. The functional is GGA-PBEsol.

abc: 8.0889 9.3982 10.0104
angles: 115.75 113.83 90.00
Closest atoms and distances in Å follow each position.
Element x y z (fractional)
La 0.5000 0.0000 0.5000  8 O 2.50-2.60
La 0.0000 0.0000 0.5000  8 O 2.50-2.60
Pb 0.2001 0.2788 0.4001  4 O 2.18-2.42
Pb 0.6376 0.4533 0.7421  3 O 2.18-2.24
Pb 0.0483 0.8215 0.0966  3 O 2.24-2.30
Pb 0.4425 0.2439 0.8850  3 O 2.18-2.43
Pb 0.8955 0.5467 0.2579  3 O 2.18-2.24
Pb 0.3474 0.7864 0.6947  3 O 2.24-2.29
Pb 0.6526 0.2136 0.3053  3 O 2.24-2.29
Pb 0.5575 0.7561 0.1150  3 O 2.18-2.43
Pb 0.7999 0.7212 0.5999  4 O 2.18-2.42
Pb 0.1045 0.4533 0.7421  3 O 2.18-2.24
Pb 0.3624 0.5467 0.2579  3 O 2.18-2.24
Pb 0.9517 0.1785 0.9034  3 O 2.24-2.30
Cl 0.7284 0.0000 0.0000  6 Pb 3.14-3.47
Cl 0.2716 0.0000 0.0000  6 Pb 3.14-3.47
O 0.0404 0.7332 0.5181  3 Pb 2.19-2.42
O 0.3319 0.0087 0.6639  2 Pb 2.18-2.24
O 0.6513 0.6208 0.3027  3 Pb 2.24-2.42
O 0.1158 0.2473 0.7905  3 Pb 2.18-2.43
O 0.6747 0.2473 0.7905  3 Pb 2.18-2.43
O 0.8842 0.7527 0.2095  3 Pb 2.18-2.43
O 0.6681 0.9913 0.3361  2 Pb 2.18-2.24
O 0.3253 0.7527 0.2095  3 Pb 2.18-2.43
O 0.4776 0.7332 0.5181  3 Pb 2.19-2.42
O 0.8222 0.9705 0.6445  2 Pb 2.18-2.24
O 0.5224 0.2668 0.4819  3 Pb 2.19-2.42
O 0.3487 0.3792 0.6973  3 Pb 2.24-2.42
O 0.1778 0.0295 0.3555  2 Pb 2.18-2.24
O 0.9596 0.2668 0.4819  3 Pb 2.19-2.42

Summary:
The calculated volume is 612.6 Å³/cell. The value obtained for the total DFT energy (no corrections) is -6.0500 eV/atom.

=====

No. 6
This record from Alexandria via LeMat-Bulk describes a geometry-optimized CrNiRh structure. The functional is GGA-PBEsol.

abc: 2.5466 3.9999 3.9999
angles: 120.00 90.00 90.00
Closest atoms and distances in Å follow each position.
Element x y z (fractional)
Ni 0.8335 0.3333 0.6667  3 Cr 2.31, 2 Ni 2.55
Rh 0.3333 0.6667 0.3333  2 Rh 2.55, 6 Ni 2.64, 6 Cr 2.64
Cr 0.8332 0.0000 0.0000  3 Ni 2.31, 2 Cr 2.55

Summary:
The calculated volume is 35.3 Å³/cell. The value obtained for the total DFT energy (no corrections) is -8.1515 eV/atom. Its formation energy is 0.0278 eV/atom. As for the energy above the lowest structure with this stoichiometry: 83.7 meV/atom.

=====

No. 7
This record from Alexandria via LeMat-Bulk describes a geometry-optimized Cs4FeSbCl12 structure. The functional is GGA-PBEsol.

abc: 7.1858 7.1858 10.2936
angles: 90.00 90.00 90.00
Closest atoms and distances in Å follow each position.
Element x y z (fractional)
Cs 0.5000 0.0000 0.7619  12 Cl 3.54-3.70
Cs 0.0000 0.5000 0.2381  12 Cl 3.54-3.70
Cs 0.5000 0.0000 0.2381  12 Cl 3.54-3.70
Cs 0.0000 0.5000 0.7619  12 Cl 3.54-3.70
Fe 0.0000 0.0000 0.0000  6 Cl 2.24
Sb 0.5000 0.5000 0.5000  6 Cl 2.48-2.50
Cl 0.0000 0.0000 0.7825  1 Fe 2.24
Cl 0.5000 0.5000 0.2575  1 Sb 2.50
Cl 0.7444 0.7444 0.5000  1 Sb 2.48
Cl 0.2209 0.2209 0.0000  1 Fe 2.24
Cl 0.7444 0.2556 0.5000  1 Sb 2.48
Cl 0.2209 0.7791 0.0000  1 Fe 2.24
Cl 0.0000 0.0000 0.2175  1 Fe 2.24
Cl 0.5000 0.5000 0.7425  1 Sb 2.50
Cl 0.2556 0.2556 0.5000  1 Sb 2.48
Cl 0.7791 0.7791 0.0000  1 Fe 2.24
Cl 0.2556 0.7444 0.5000  1 Sb 2.48
Cl 0.7791 0.2209 0.0000  1 Fe 2.24

Summary:
The calculated volume is 531.5 Å³/cell. The value obtained for the total DFT energy (no corrections) is -3.6359 eV/atom.

=====

No. 8
This record from Alexandria via LeMat-Bulk describes a geometry-optimized Cr2ReP structure. The functional is GGA-PBEsol.

abc: 2.9002 2.9002 5.6338
angles: 90.00 90.00 90.00
Closest atoms and distances in Å follow each position.
Element x y z (fractional)
Cr 0.0000 0.0000 0.0318  4 Cr 2.39, 1 P 2.55, 4 Re 2.65
Cr 0.5000 0.5000 0.2495  4 Cr 2.39, 4 P 2.44
P 0.0000 0.0000 0.4843  5 Cr 2.44-2.55, 4 Re 2.49
Re 0.5000 0.5000 0.7343  4 P 2.49, 5 Cr 2.65-2.73

Summary:
The calculated volume is 47.4 Å³/cell. The value obtained for the total DFT energy (no corrections) is -10.0346 eV/atom. Its formation energy is -0.1328 eV/atom.